Entry 1:
First-principles (PBE+U) data for a relaxed structure of YWF2, as listed in Alexandria.

```
4
Lattice="0.428 1.087 5.592 3.155 -1.624 4.477 3.746 2.255 3.678" Properties=species:S:1:pos:R:3 pbc="T T T"
Y 0.000 0.000 0.000
W 3.664 0.859 6.874
F 6.284 1.473 11.788
F 1.044 0.245 1.959
```

spin magnetization	0.1	Bohr magnetons per cell
final energy	-5.402	eV/atom
distance to the lowest polymorph of the same formula	8.49	kcal/mol of atoms

Entry 2:
First-principles (PBE+U) data for a relaxed structure of YWF, as listed in Alexandria.

```
6
Lattice="3.516 0.000 0.000 0.000 3.516 0.000 0.000 0.000 8.749" Properties=species:S:1:pos:R:3 pbc="T T T"
Y 0.000 1.758 1.617
Y 1.758 0.000 7.131
W 0.000 1.758 4.952
W 1.758 0.000 3.797
F 0.000 0.000 0.000
F 1.758 1.758 0.000
```

spin magnetization	1.1	Bohr magnetons per cell
final energy	-6.460	eV/atom
distance to the lowest polymorph of the same formula	0.00	kcal/mol of atoms

Entry 3:
First-principles (PBE+U) data for a relaxed structure of YWF, as listed in Alexandria.

```
6
Lattice="3.988 0.000 0.000 0.000 8.070 0.000 0.000 0.000 3.636" Properties=species:S:1:pos:R:3 pbc="T T T"
Y 0.000 1.534 0.000
Y 1.994 6.536 1.818
W 0.000 4.038 1.818
W 1.994 4.032 0.000
F 0.000 7.989 1.818
F 1.994 0.081 0.000
```

spin magnetization	0.0	Bohr magnetons per cell
final energy	-6.364	eV/atom
distance to the lowest polymorph of the same formula	2.23	kcal/mol of atoms

Entry 4:
First-principles (PBE+U) data for a relaxed structure of YW3F, as listed in Alexandria.

```
5
Lattice="-0.027 5.284 -2.255 -4.718 1.266 3.024 3.279 1.867 4.333" Properties=species:S:1:pos:R:3 pbc="T T T"
Y 0.000 0.000 0.000
W -2.359 0.633 1.512
W 1.639 0.933 2.167
W -0.014 2.642 -1.128
F -0.734 4.209 2.551
```

spin magnetization	10.0	Bohr magnetons per cell
final energy	-3.512	eV/atom
distance to the lowest polymorph of the same formula	33.75	kcal/mol of atoms

Entry 5:
First-principles (PBE+U) data for a relaxed structure of YWF, as listed in Alexandria.

```
6
Lattice="3.546 0.002 0.000 1.757 4.434 -0.002 1.771 0.770 8.073" Properties=species:S:1:pos:R:3 pbc="T T T"
Y 3.536 2.575 6.369
Y 3.537 2.632 1.702
W 1.771 1.327 4.012
W 5.303 3.879 4.060
F 1.766 3.123 0.252
F 5.308 2.083 7.819
```

spin magnetization	0.0	Bohr magnetons per cell
final energy	-6.241	eV/atom
distance to the lowest polymorph of the same formula	5.05	kcal/mol of atoms

Entry 6:
First-principles (PBE+U) data for a relaxed structure of YWF, as listed in Alexandria.

```
12
Lattice="-3.387 1.741 -0.236 -0.103 -0.707 -3.748 -7.364 -13.944 2.832" Properties=species:S:1:pos:R:3 pbc="T T T"
Y -6.225 -11.788 2.394
Y -1.138 -2.156 0.438
Y -4.288 -4.299 -1.014
Y -6.565 -8.611 -0.138
W -0.051 -0.354 -1.874
W -1.694 0.870 -0.118
W -5.376 -6.102 1.298
W -3.733 -7.326 -0.458
F -1.892 -3.840 -1.166
F -5.574 -10.812 0.250
F -7.216 -9.588 2.006
F -3.535 -2.616 0.590
```

spin magnetization	0.0	Bohr magnetons per cell
final energy	-6.400	eV/atom
distance to the lowest polymorph of the same formula	1.39	kcal/mol of atoms